CdSn: relaxed, PBE-GGA.

The structure in POSCAR format:
```
CdSn
1.0
-2.4723 -2.0709 -3.1668
7.8644 -7.6078 -1.1646
-2.8260 -3.6216 4.5745
Cd Sn
6 6
Cartesian
3.3895 -6.3544 -1.7164
-1.8786 -1.8588 -0.5434
1.2518 -4.2864 -1.3998
-1.9557 -4.3613 1.1532
3.7710 -9.9011 0.3052
0.6406 -7.4735 1.1615
0.0456 -5.1082 3.3048
2.7583 -5.3082 1.3178
-2.5869 -3.3151 4.1874
0.7960 -2.6564 1.1157
5.3908 -7.1013 0.4352
3.3152 -8.2711 2.8206
```

Computed properties:
ΔE_f (kJ/mol of atoms): 7